# 1
This record from Alexandria describes crystalline LaTb2Cu2 at its relaxed geometry. The functional is PBE.

Geometry as CIF:
```
data_LaTb2Cu2
_chemical_formula_sum 'La2 Tb4 Cu4'
_symmetry_space_group_name_H-M 'P 1'
_symmetry_Int_Tables_number 1
_symmetry_space_group_name_Hall 'P 1'
_cell_length_a 5.0158
_cell_length_b 4.7180
_cell_length_c 10.8915
_cell_angle_alpha 90.00
_cell_angle_beta 96.54
_cell_angle_gamma 90.00
loop_
_atom_site_label
_atom_site_fract_x
_atom_site_fract_y
_atom_site_fract_z
La1 0.1933 0.2500 0.2440
La2 0.8067 0.7500 0.7560
Tb1 0.2493 0.7500 0.4937
Tb2 0.3447 0.2500 0.8856
Tb3 0.6553 0.7500 0.1144
Tb4 0.7507 0.2500 0.5063
Cu1 0.1255 0.7500 0.0039
Cu2 0.2816 0.2500 0.6325
Cu3 0.7184 0.7500 0.3675
Cu4 0.8745 0.2500 0.9961
```

Output
Energy of formation from the pure elements: -121 meV/atom
Total DFT energy (no corrections): -4.5970 eV per atom



# 2
This record from Alexandria describes crystalline LaTb2Cu at its relaxed geometry. The functional is PBE.

Geometry as CIF:
```
data_LaTb2Cu
_chemical_formula_sum 'La1 Tb2 Cu1'
_symmetry_space_group_name_H-M 'P 1'
_symmetry_Int_Tables_number 1
_symmetry_space_group_name_Hall 'P 1'
_cell_length_a 10.0836
_cell_length_b 10.0836
_cell_length_c 10.0836
_cell_angle_alpha 21.31
_cell_angle_beta 21.31
_cell_angle_gamma 21.31
loop_
_atom_site_label
_atom_site_fract_x
_atom_site_fract_y
_atom_site_fract_z
La1 0.0000 0.0000 0.0000
Tb1 0.2321 0.2321 0.2321
Tb2 0.4372 0.4372 0.4372
Cu1 0.8354 0.8354 0.8354
```

Output
Energy of formation from the pure elements: 42 meV/atom
Total DFT energy (no corrections): -4.5295 eV per atom
Energy above the most stable polymorph in this dataset: 0.131 eV/atom



# 3
This record from Alexandria describes crystalline LaTb2Cu at its relaxed geometry. The functional is PBE.

Geometry as CIF:
```
data_LaTb2Cu
_chemical_formula_sum 'La1 Tb2 Cu1'
_symmetry_space_group_name_H-M 'P 1'
_symmetry_Int_Tables_number 1
_symmetry_space_group_name_Hall 'P 1'
_cell_length_a 10.2436
_cell_length_b 10.2436
_cell_length_c 10.2436
_cell_angle_alpha 20.61
_cell_angle_beta 20.61
_cell_angle_gamma 20.61
loop_
_atom_site_label
_atom_site_fract_x
_atom_site_fract_y
_atom_site_fract_z
La1 0.0000 0.0000 0.0000
Tb1 0.2322 0.2322 0.2322
Tb2 0.7678 0.7678 0.7678
Cu1 0.5000 0.5000 0.5000
```

Output
Energy of formation from the pure elements: 37 meV/atom
Total DFT energy (no corrections): -4.5336 eV per atom
Energy above the most stable polymorph in this dataset: 0.127 eV/atom



# 4
This record from Alexandria describes crystalline LaTb2Cu9 at its relaxed geometry. The functional is PBE.

Geometry as CIF:
```
data_LaTb2Cu9
_chemical_formula_sum 'La2 Tb4 Cu18'
_symmetry_space_group_name_H-M 'P 1'
_symmetry_Int_Tables_number 1
_symmetry_space_group_name_Hall 'P 1'
_cell_length_a 5.2947
_cell_length_b 5.2947
_cell_length_c 16.3979
_cell_angle_alpha 90.00
_cell_angle_beta 90.00
_cell_angle_gamma 120.00
loop_
_atom_site_label
_atom_site_fract_x
_atom_site_fract_y
_atom_site_fract_z
La1 0.3333 0.6667 0.2500
La2 0.6667 0.3333 0.7500
Tb1 0.3333 0.6667 0.0323
Tb2 0.3333 0.6667 0.4677
Tb3 0.6667 0.3333 0.5323
Tb4 0.6667 0.3333 0.9677
Cu1 0.0000 0.0000 0.0000
Cu2 0.0000 0.0000 0.2500
Cu3 0.0000 0.0000 0.5000
Cu4 0.0000 0.0000 0.7500
Cu5 0.1665 0.3329 0.6256
Cu6 0.1665 0.3329 0.8744
Cu7 0.1665 0.8335 0.6256
Cu8 0.1665 0.8335 0.8744
Cu9 0.3329 0.1665 0.1256
Cu10 0.3329 0.1665 0.3744
Cu11 0.3333 0.6667 0.7500
Cu12 0.6667 0.3333 0.2500
Cu13 0.6671 0.8335 0.6256
Cu14 0.6671 0.8335 0.8744
Cu15 0.8335 0.1665 0.1256
Cu16 0.8335 0.1665 0.3744
Cu17 0.8335 0.6671 0.1256
Cu18 0.8335 0.6671 0.3744
```

Output
Energy of formation from the pure elements: -174 meV/atom
Total DFT energy (no corrections): -4.4281 eV per atom



# 5
This record from Alexandria describes crystalline LaTb2Cu at its relaxed geometry. The functional is PBE.

Geometry as CIF:
```
data_LaTb2Cu
_chemical_formula_sum 'La1 Tb2 Cu1'
_symmetry_space_group_name_H-M 'P 1'
_symmetry_Int_Tables_number 1
_symmetry_space_group_name_Hall 'P 1'
_cell_length_a 3.5572
_cell_length_b 3.5572
_cell_length_c 8.8027
_cell_angle_alpha 90.00
_cell_angle_beta 90.00
_cell_angle_gamma 90.00
loop_
_atom_site_label
_atom_site_fract_x
_atom_site_fract_y
_atom_site_fract_z
La1 0.0000 0.0000 0.0000
Tb1 0.5000 0.5000 0.3109
Tb2 0.5000 0.5000 0.6891
Cu1 0.0000 0.0000 0.5000
```

Output
Energy of formation from the pure elements: -90 meV/atom
Total DFT energy (no corrections): -4.6609 eV per atom
Energy above the most stable polymorph in this dataset: 0.000 eV/atom



# 6
This record from Alexandria describes crystalline LaTb3Cu at its relaxed geometry. The functional is PBE.

Geometry as CIF:
```
data_LaTb3Cu
_chemical_formula_sum 'La1 Tb3 Cu1'
_symmetry_space_group_name_H-M 'P 1'
_symmetry_Int_Tables_number 1
_symmetry_space_group_name_Hall 'P 1'
_cell_length_a 5.4344
_cell_length_b 5.4344
_cell_length_c 5.4344
_cell_angle_alpha 90.00
_cell_angle_beta 90.00
_cell_angle_gamma 90.00
loop_
_atom_site_label
_atom_site_fract_x
_atom_site_fract_y
_atom_site_fract_z
La1 0.0000 0.0000 0.0000
Tb1 0.0000 0.5000 0.5000
Tb2 0.5000 0.0000 0.5000
Tb3 0.5000 0.5000 0.0000
Cu1 0.5000 0.5000 0.5000
```

Output
Energy of formation from the pure elements: 62 meV/atom
Total DFT energy (no corrections): -4.5206 eV per atom



# 7
This record from Alexandria describes crystalline La2TbCuTe5 at its relaxed geometry. The functional is PBE.

Geometry as CIF:
```
data_La2TbCuTe5
_chemical_formula_sum 'La4 Tb2 Cu2 Te10'
_symmetry_space_group_name_H-M 'P 1'
_symmetry_Int_Tables_number 1
_symmetry_space_group_name_Hall 'P 1'
_cell_length_a 9.8460
_cell_length_b 9.8460
_cell_length_c 13.1048
_cell_angle_alpha 90.00
_cell_angle_beta 90.00
_cell_angle_gamma 154.29
loop_
_atom_site_label
_atom_site_fract_x
_atom_site_fract_y
_atom_site_fract_z
La1 0.1102 0.8898 0.5000
La2 0.1225 0.8775 0.1231
La3 0.8775 0.1225 0.6231
La4 0.8898 0.1102 0.0000
Tb1 0.1909 0.8091 0.8239
Tb2 0.8091 0.1909 0.3239
Cu1 0.4289 0.5711 0.2689
Cu2 0.5711 0.4289 0.7689
Te1 0.0409 0.9591 0.8724
Te2 0.2885 0.7115 0.4864
Te3 0.3110 0.6890 0.1587
Te4 0.3547 0.6453 0.8143
Te5 0.4994 0.5006 0.0964
Te6 0.5006 0.4994 0.5964
Te7 0.6453 0.3547 0.3143
Te8 0.6890 0.3110 0.6587
Te9 0.7115 0.2885 0.9864
Te10 0.9591 0.0409 0.3724
```

Output
Total DFT energy (no corrections): -5.1141 eV per atom
Raw formation energy: -1.3041 eV/atom



# 8
This record from Alexandria describes crystalline LaTbZnCu at its relaxed geometry. The functional is PBE.

Geometry as CIF:
```
data_LaTbZnCu
_chemical_formula_sum 'La1 Tb1 Zn1 Cu1'
_symmetry_space_group_name_H-M 'P 1'
_symmetry_Int_Tables_number 1
_symmetry_space_group_name_Hall 'P 1'
_cell_length_a 5.1373
_cell_length_b 5.1373
_cell_length_c 5.1373
_cell_angle_alpha 60.00
_cell_angle_beta 60.00
_cell_angle_gamma 60.00
loop_
_atom_site_label
_atom_site_fract_x
_atom_site_fract_y
_atom_site_fract_z
La1 0.0000 0.0000 0.0000
Tb1 0.5000 0.5000 0.5000
Zn1 0.7500 0.7500 0.7500
Cu1 0.2500 0.2500 0.2500
```

Output
Energy of formation from the pure elements: -232 meV/atom
Total DFT energy (no corrections): -3.9635 eV per atom
Energy above the most stable polymorph in this dataset: 0.019 eV/atom



# 9
This record from Alexandria describes crystalline LaTbZnCu at its relaxed geometry. The functional is PBE.

Geometry as CIF:
```
data_LaTbZnCu
_chemical_formula_sum 'La1 Tb1 Zn1 Cu1'
_symmetry_space_group_name_H-M 'P 1'
_symmetry_Int_Tables_number 1
_symmetry_space_group_name_Hall 'P 1'
_cell_length_a 3.6087
_cell_length_b 3.6087
_cell_length_c 7.3060
_cell_angle_alpha 90.00
_cell_angle_beta 90.00
_cell_angle_gamma 90.00
loop_
_atom_site_label
_atom_site_fract_x
_atom_site_fract_y
_atom_site_fract_z
La1 0.0000 0.0000 0.0000
Tb1 0.0000 0.0000 0.4863
Zn1 0.5000 0.5000 0.7223
Cu1 0.5000 0.5000 0.2774
```

Output
Energy of formation from the pure elements: -251 meV/atom
Total DFT energy (no corrections): -3.9827 eV per atom
Energy above the most stable polymorph in this dataset: 0.000 eV/atom



# 10
This record from Alexandria describes crystalline La2CuTc at its relaxed geometry. The functional is PBE.

Geometry as CIF:
```
data_La2CuTc
_chemical_formula_sum 'La2 Cu1 Tc1'
_symmetry_space_group_name_H-M 'P 1'
_symmetry_Int_Tables_number 1
_symmetry_space_group_name_Hall 'P 1'
_cell_length_a 3.5747
_cell_length_b 3.5747
_cell_length_c 7.9359
_cell_angle_alpha 90.00
_cell_angle_beta 90.00
_cell_angle_gamma 90.00
loop_
_atom_site_label
_atom_site_fract_x
_atom_site_fract_y
_atom_site_fract_z
La1 0.0000 0.0000 0.0000
La2 0.5000 0.5000 0.4296
Cu1 0.5000 0.5000 0.7866
Tc1 0.0000 0.0000 0.6778
```

Output
Energy of formation from the pure elements: 142 meV/atom
Total DFT energy (no corrections): -5.9369 eV per atom



no.,DOS(E_F) (states/eV/cell)
1,10.386
2,5.388
3,6.170
4,15.883
5,4.023
6,5.918
7,0.101
8,2.892
9,3.601
10,3.163